# InNi2IF

A geometry-optimized InNi2IF structure (PBE+U, Alexandria).

Summary:
* total DFT energy (no corrections): -1.69 eV/atom
* V: 21.524 A^3/atom

Cell lengths 4.625, 5.031, 4.625 Å; angles 90.00, 90.00, 90.00 degrees
Element x y z (fractional)
Ni 0.000 0.000 0.500
Ni 0.500 0.000 0.000
In 0.500 0.500 0.500
F 0.000 0.500 0.000
I 0.000 0.000 0.000